{"formula": "ZnNi3O", "functional": "PBE with a Hubbard U", "state": "relaxed", "lattice_angstrom": [[3.930, 0.000, 0.000], [0.000, 3.930, 0.000], [0.000, 0.000, 3.930]], "species": ["Ni", "Zn", "Ni", "Ni", "O"], "fractional_positions": [[0.500, 0.000, 0.000], [0.500, 0.500, 0.500], [0.000, 0.000, 0.500], [0.000, 0.500, 0.000], [0.000, 0.000, 0.000]], "space_group": "Pm-3m (221)", "e_above_lowest_polymorph_ev_per_atom": 0.000, "total_energy_ev_per_atom": -2.70}